w | ! PBE-GGA Y2CrGe, optimized geometry; values from VASP
&SYSTEM
  ibrav = 0, nat = 8, ntyp = 3
/
ATOMIC_SPECIES
Y 88.91 Y.upf
Cr 52.00 Cr.upf
Ge 72.64 Ge.upf
ATOMIC_POSITIONS crystal
Y 0.112 0.625 0.987
Y 0.375 0.362 0.487
Y 0.638 0.125 0.013
Y 0.875 0.888 0.513
Cr 0.250 0.750 0.500
Cr 0.500 0.500 0.000
Ge 0.000 0.000 0.000
Ge 0.750 0.250 0.500
CELL_PARAMETERS angstrom
-3.929 3.929 3.327
3.929 -3.929 3.327
3.929 3.929 -3.327
! Crystal system   tetragonal
! Space group   I-42d (122)

---

x | ! PBE-GGA Y2CrGe, optimized geometry; values from VASP
&SYSTEM
  ibrav = 0, nat = 4, ntyp = 3
/
ATOMIC_SPECIES
Y 88.91 Y.upf
Cr 52.00 Cr.upf
Ge 72.64 Ge.upf
ATOMIC_POSITIONS crystal
Y 0.250 0.250 0.250
Y 0.750 0.750 0.750
Cr 0.000 0.000 0.000
Ge 0.500 0.500 0.500
CELL_PARAMETERS angstrom
0.000 3.582 3.582
3.582 0.000 3.582
3.582 3.582 0.000
! Crystal system   cubic
! Space group   Fm-3m (225)

---

What should be chosen as the most stable of them? Choose x.

---

w | ! PBE-GGA Cr3H, optimized geometry; values from VASP
&SYSTEM
  ibrav = 0, nat = 4, ntyp = 2
/
ATOMIC_SPECIES
Cr 52.00 Cr.upf
H 1.01 H.upf
ATOMIC_POSITIONS crystal
Cr 0.000 0.000 0.000
Cr 0.299 0.478 0.822
Cr 0.656 0.478 0.178
H 0.657 0.157 0.500
CELL_PARAMETERS angstrom
-1.167 3.769 2.150
1.167 -3.769 2.150
1.167 3.769 -2.150
! Crystal system   orthorhombic
! Space group   Imm2 (44)

---

x | ! PBE-GGA Cr3H, optimized geometry; values from VASP
&SYSTEM
  ibrav = 0, nat = 4, ntyp = 2
/
ATOMIC_SPECIES
Cr 52.00 Cr.upf
H 1.01 H.upf
ATOMIC_POSITIONS crystal
Cr 0.000 0.000 0.000
Cr 0.250 0.750 0.500
Cr 0.750 0.250 0.500
H 0.500 0.500 0.000
CELL_PARAMETERS angstrom
-1.593 1.593 3.985
1.593 -1.593 3.985
1.593 1.593 -3.985
! Crystal system   tetragonal
! Space group   I4/mmm (139)

---

y | ! PBE-GGA Cr3H, optimized geometry; values from VASP
&SYSTEM
  ibrav = 0, nat = 4, ntyp = 2
/
ATOMIC_SPECIES
Cr 52.00 Cr.upf
H 1.01 H.upf
ATOMIC_POSITIONS crystal
Cr 0.000 0.000 0.000
Cr 0.000 0.500 0.329
Cr 0.500 0.500 0.690
H 0.500 0.000 0.473
CELL_PARAMETERS angstrom
2.350 0.000 0.000
0.000 2.376 0.000
0.000 0.000 6.917
! Crystal system   orthorhombic
! Space group   Pmm2 (25)

---

What should be chosen as the most stable of them? Choose w.